(1)
Here is VIrW2 after structural relaxation from the Alexandria database. Energies are from PBE.

## Properties
- Total magnetic moment: 0.00 Bohr magnetons per cell
- E_tot: -165.30 eV for the cell shown
- ΔH_f (0 K): 0.640 eV/atom
- N(E_F): 1.193 states/eV/atom
- Symmetry: I-42d

Lattice parameters (Å, degrees): 3.6689 3.6689 19.6175 90.00 90.00 90.00
Sites, in units of the cell vectors:
V1 0.0000 0.0000 0.0000
V2 0.0000 0.5000 0.2500
V3 0.5000 0.0000 0.7500
V4 0.5000 0.5000 0.5000
Ir1 0.0000 0.0000 0.5000
Ir2 0.0000 0.5000 0.7500
Ir3 0.5000 0.0000 0.2500
Ir4 0.5000 0.5000 0.0000
W1 0.2407 0.2500 0.1250
W2 0.2500 0.7407 0.3750
W3 0.2500 0.7593 0.8750
W4 0.2593 0.2500 0.6250
W5 0.7407 0.7500 0.6250
W6 0.7500 0.2407 0.8750
W7 0.7500 0.2593 0.3750
W8 0.7593 0.7500 0.1250


(2)
Here is VIrW3 after structural relaxation from the Alexandria database. Energies are from PBE.

## Properties
- Total magnetic moment: 1.86 Bohr magnetons per cell
- E_tot: -46.83 eV for the cell shown
- ΔH_f (0 K): 2.001 eV/atom
- N(E_F): 1.260 states/eV/atom
- Symmetry: Pm-3m

Lattice parameters (Å, degrees): 4.7365 4.7365 4.7365 90.00 90.00 90.00
Sites, in units of the cell vectors:
V1 0.0000 0.0000 0.0000
Ir1 0.5000 0.5000 0.5000
W1 0.0000 0.5000 0.5000
W2 0.5000 0.0000 0.5000
W3 0.5000 0.5000 0.0000


(3)
Here is VIr2W after structural relaxation from the Alexandria database. Energies are from PBE.

## Properties
- Total magnetic moment: 9.70 Bohr magnetons per cell
- E_tot: -157.61 eV for the cell shown
- ΔH_f (0 K): 0.098 eV/atom
- N(E_F): 1.549 states/eV/atom
- Symmetry: Fm-3m

Lattice parameters (Å, degrees): 6.2321 6.2321 6.2321 90.00 90.00 90.00
Sites, in units of the cell vectors:
V1 0.0000 0.0000 0.0000
V2 0.0000 0.5000 0.5000
V3 0.5000 0.0000 0.5000
V4 0.5000 0.5000 0.0000
Ir1 0.2500 0.2500 0.2500
Ir2 0.2500 0.2500 0.7500
Ir3 0.2500 0.7500 0.2500
Ir4 0.2500 0.7500 0.7500
Ir5 0.7500 0.2500 0.2500
Ir6 0.7500 0.2500 0.7500
Ir7 0.7500 0.7500 0.2500
Ir8 0.7500 0.7500 0.7500
W1 0.0000 0.0000 0.5000
W2 0.0000 0.5000 0.0000
W3 0.5000 0.0000 0.0000
W4 0.5000 0.5000 0.5000


(4)
Here is Y2VIr2 after structural relaxation from the Alexandria database. Energies are from PBE.

## Properties
- Total magnetic moment: 0.02 Bohr magnetons per cell
- E_tot: -84.71 eV for the cell shown
- ΔH_f (0 K): -0.517 eV/atom
- N(E_F): 0.992 states/eV/atom
- Symmetry: P4/mbm

Lattice parameters (Å, degrees): 6.6219 6.6219 4.6053 90.00 90.00 90.00
Sites, in units of the cell vectors:
Y1 0.1753 0.3247 0.0000
Y2 0.3247 0.8247 0.0000
Y3 0.6753 0.1753 0.0000
Y4 0.8247 0.6753 0.0000
V1 0.0000 0.0000 0.5000
V2 0.5000 0.5000 0.5000
Ir1 0.1421 0.6421 0.5000
Ir2 0.3579 0.1421 0.5000
Ir3 0.6421 0.8579 0.5000
Ir4 0.8579 0.3579 0.5000


(5)
Here is YVIr3 after structural relaxation from the Alexandria database. Energies are from PBE.

## Properties
- Total magnetic moment: 0.00 Bohr magnetons per cell
- E_tot: -41.26 eV for the cell shown
- ΔH_f (0 K): 0.182 eV/atom
- N(E_F): 0.693 states/eV/atom
- Symmetry: Pm-3m

Lattice parameters (Å, degrees): 4.5892 4.5892 4.5892 90.00 90.00 90.00
Sites, in units of the cell vectors:
Y1 0.0000 0.0000 0.0000
V1 0.5000 0.5000 0.5000
Ir1 0.0000 0.5000 0.5000
Ir2 0.5000 0.0000 0.5000
Ir3 0.5000 0.5000 0.0000


(6)
Here is YVIr2 after structural relaxation from the Alexandria database. Energies are from PBE.

## Properties
- Total magnetic moment: 8.38 Bohr magnetons per cell
- E_tot: -137.39 eV for the cell shown
- ΔH_f (0 K): -0.260 eV/atom
- N(E_F): 1.489 states/eV/atom
- Symmetry: Fm-3m

Lattice parameters (Å, degrees): 6.5232 6.5232 6.5232 90.00 90.00 90.00
Sites, in units of the cell vectors:
Y1 0.0000 0.0000 0.0000
Y2 0.0000 0.5000 0.5000
Y3 0.5000 0.0000 0.5000
Y4 0.5000 0.5000 0.0000
V1 0.0000 0.0000 0.5000
V2 0.0000 0.5000 0.0000
V3 0.5000 0.0000 0.0000
V4 0.5000 0.5000 0.5000
Ir1 0.2500 0.2500 0.2500
Ir2 0.2500 0.2500 0.7500
Ir3 0.2500 0.7500 0.2500
Ir4 0.2500 0.7500 0.7500
Ir5 0.7500 0.2500 0.2500
Ir6 0.7500 0.2500 0.7500
Ir7 0.7500 0.7500 0.2500
Ir8 0.7500 0.7500 0.7500


(7)
Here is YV2Ir2 after structural relaxation from the Alexandria database. Energies are from PBE.

## Properties
- Total magnetic moment: 0.00 Bohr magnetons per cell
- E_tot: -87.72 eV for the cell shown
- ΔH_f (0 K): -0.287 eV/atom
- N(E_F): 1.436 states/eV/atom
- Symmetry: I4/mmm

Lattice parameters (Å, degrees): 4.2312 4.2312 10.0672 90.00 90.00 90.00
Sites, in units of the cell vectors:
Y1 0.0000 0.0000 0.0000
Y2 0.5000 0.5000 0.5000
V1 0.0000 0.0000 0.3769
V2 0.0000 0.0000 0.6231
V3 0.5000 0.5000 0.1231
V4 0.5000 0.5000 0.8769
Ir1 0.0000 0.5000 0.2500
Ir2 0.0000 0.5000 0.7500
Ir3 0.5000 0.0000 0.2500
Ir4 0.5000 0.0000 0.7500


(8)
Here is YVIr2 after structural relaxation from the Alexandria database. Energies are from PBE.

## Properties
- Total magnetic moment: 0.00 Bohr magnetons per cell
- E_tot: -135.57 eV for the cell shown
- ΔH_f (0 K): -0.147 eV/atom
- N(E_F): 0.987 states/eV/atom
- Symmetry: I-42d

Lattice parameters (Å, degrees): 7.2209 7.2209 5.7213 90.00 90.00 90.00
Sites, in units of the cell vectors:
Y1 0.0000 0.0000 0.0000
Y2 0.0000 0.5000 0.2500
Y3 0.5000 0.0000 0.7500
Y4 0.5000 0.5000 0.5000
V1 0.0000 0.0000 0.5000
V2 0.0000 0.5000 0.7500
V3 0.5000 0.0000 0.2500
V4 0.5000 0.5000 0.0000
Ir1 0.1959 0.7500 0.6250
Ir2 0.2500 0.1959 0.3750
Ir3 0.2500 0.3041 0.8750
Ir4 0.3041 0.7500 0.1250
Ir5 0.6959 0.2500 0.1250
Ir6 0.7500 0.6959 0.8750
Ir7 0.7500 0.8041 0.3750
Ir8 0.8041 0.2500 0.6250


(9)
Here is Y2VIr after structural relaxation from the Alexandria database. Energies are from PBE.

## Properties
- Total magnetic moment: 14.15 Bohr magnetons per cell
- E_tot: -127.15 eV for the cell shown
- ΔH_f (0 K): -0.220 eV/atom
- N(E_F): 0.830 states/eV/atom
- Symmetry: Fm-3m

Lattice parameters (Å, degrees): 6.9898 6.9898 6.9898 90.00 90.00 90.00
Sites, in units of the cell vectors:
Y1 0.2500 0.2500 0.2500
Y2 0.2500 0.2500 0.7500
Y3 0.2500 0.7500 0.2500
Y4 0.2500 0.7500 0.7500
Y5 0.7500 0.2500 0.2500
Y6 0.7500 0.2500 0.7500
Y7 0.7500 0.7500 0.2500
Y8 0.7500 0.7500 0.7500
V1 0.0000 0.0000 0.0000
V2 0.0000 0.5000 0.5000
V3 0.5000 0.0000 0.5000
V4 0.5000 0.5000 0.0000
Ir1 0.0000 0.0000 0.5000
Ir2 0.0000 0.5000 0.0000
Ir3 0.5000 0.0000 0.0000
Ir4 0.5000 0.5000 0.5000


(10)
Here is YVIr2 after structural relaxation from the Alexandria database. Energies are from PBE.

## Properties
- Total magnetic moment: 0.00 Bohr magnetons per cell
- E_tot: -104.87 eV for the cell shown
- ΔH_f (0 K): -0.413 eV/atom
- N(E_F): 1.194 states/eV/atom
- Symmetry: R-3m

Lattice parameters (Å, degrees): 4.2419 4.2419 14.7892 90.00 90.00 120.00
Sites, in units of the cell vectors:
Y1 0.0000 0.0000 0.0000
Y2 0.3333 0.6667 0.6667
Y3 0.6667 0.3333 0.3333
V1 0.0000 0.0000 0.5000
V2 0.3333 0.6667 0.1667
V3 0.6667 0.3333 0.8333
Ir1 0.0000 0.0000 0.2096
Ir2 0.0000 0.0000 0.7904
Ir3 0.3333 0.6667 0.4570
Ir4 0.3333 0.6667 0.8763
Ir5 0.6667 0.3333 0.1237
Ir6 0.6667 0.3333 0.5430


(11)
Here is YV2Ir2 after structural relaxation from the Alexandria database. Energies are from PBE.

## Properties
- Total magnetic moment: 3.46 Bohr magnetons per cell
- E_tot: -87.67 eV for the cell shown
- ΔH_f (0 K): -0.283 eV/atom
- N(E_F): 1.418 states/eV/atom
- Symmetry: P4/mbm

Lattice parameters (Å, degrees): 7.6173 7.6173 2.8703 90.00 90.00 90.00
Sites, in units of the cell vectors:
Y1 0.0000 0.0000 0.0000
Y2 0.5000 0.5000 0.0000
V1 0.1575 0.3425 0.5000
V2 0.3425 0.8425 0.5000
V3 0.6575 0.1575 0.5000
V4 0.8425 0.6575 0.5000
Ir1 0.1337 0.6337 0.0000
Ir2 0.3663 0.1337 0.0000
Ir3 0.6337 0.8663 0.0000
Ir4 0.8663 0.3663 0.0000


(12)
Here is YV2Ir2 after structural relaxation from the Alexandria database. Energies are from PBE.

## Properties
- Total magnetic moment: 1.03 Bohr magnetons per cell
- E_tot: -88.34 eV for the cell shown
- ΔH_f (0 K): -0.349 eV/atom
- N(E_F): 1.085 states/eV/atom
- Symmetry: P4/mbm

Lattice parameters (Å, degrees): 7.6031 7.6031 2.8156 90.00 90.00 90.00
Sites, in units of the cell vectors:
Y1 0.0000 0.0000 0.0000
Y2 0.5000 0.5000 0.0000
V1 0.1476 0.3524 0.0000
V2 0.3524 0.8524 0.0000
V3 0.6476 0.1476 0.0000
V4 0.8524 0.6476 0.0000
Ir1 0.1452 0.6452 0.5000
Ir2 0.3548 0.1452 0.5000
Ir3 0.6452 0.8548 0.5000
Ir4 0.8548 0.3548 0.5000